The following is a DFT calculation (PBE) of a relaxed structure of Tm6Tl3Ag.

Fermi-level density of states in states/eV/atom: 0.870
VASP energy in eV per cell: -78.04

The structure in POSCAR format:
```
Tm6Tl3Ag
1.0
-5.1401 -1.0980 0.2364
1.8015 -8.8532 -1.9506
0.2493 1.2997 11.4574
Tm Tl Ag
12 6 2
Cartesian
-0.4313 -4.2433 0.1863
-2.6579 -4.4083 9.5569
-1.0007 -1.2426 1.7444
-2.0885 -7.4090 7.9988
0.0872 -5.3151 6.4820
-3.1764 -3.3365 3.2612
-0.7435 -1.6830 5.2909
-2.3457 -6.9686 4.4523
0.3255 -7.3902 2.0253
-3.4147 -1.2614 7.7179
-0.8870 -0.0281 9.8574
-2.2022 -8.6235 -0.1142
-0.2431 -4.4215 3.4527
-2.8462 -4.2302 6.2905
-0.4107 -2.5907 8.3107
-2.6785 -6.0609 1.4325
0.3660 -5.9342 9.6687
-3.4552 -2.7174 0.0745
0.5823 -7.9153 5.1709
-3.6716 -0.7363 4.5723
```

=====

The following is a DFT calculation (PBE) of a relaxed structure of Tm4TlAg3.

Fermi-level density of states in states/eV/atom: 0.500
Energy above the lowest structure with this stoichiometry in meV per atom: 0.0
VASP energy in eV per cell: -31.47

The structure in POSCAR format:
```
Tm4TlAg3
1.0
-0.8357 0.4007 3.4379
2.0441 -2.7969 0.8229
11.8407 9.1856 1.8076
Tl Tm Ag
1 4 3
Cartesian
0.6042 -1.1981 2.1304
10.2041 7.9160 1.5578
1.6366 1.2696 0.2498
4.4854 3.4796 0.6847
7.3553 5.7060 1.1229
3.6603 1.1727 2.5970
6.5246 3.3947 3.0342
9.3888 5.6166 3.4715
```

=====

The following is a DFT calculation (PBE) of a relaxed structure of TmTlAg.

Fermi-level density of states in states/eV/atom: 0.597
VASP energy in eV per cell: -9.58

The structure in POSCAR format:
```
TmTlAg
1.0
6.1831 -0.2173 1.1715
3.6926 3.8165 0.1744
-0.6350 0.4579 3.4373
Tm Tl Ag
1 1 1
Cartesian
-0.3175 0.2290 1.7186
1.8463 1.9083 0.0872
4.9379 1.7996 0.6730
```

=====

The following is a DFT calculation (PBE) of a relaxed structure of Tm2TlAg3.

Fermi-level density of states in states/eV/atom: 0.626
Energy above the lowest structure with this stoichiometry in meV per atom: 0.0
VASP energy in eV per cell: -42.49

The structure in POSCAR format:
```
Tm2TlAg3
1.0
-3.3708 -4.0654 -2.5148
4.5282 1.4335 -3.4139
4.0669 -4.7675 6.5719
Tm Tl Ag
4 2 6
Cartesian
4.5869 -2.3250 0.0968
0.8728 -1.9848 -4.4709
0.6374 -5.0744 0.5464
0.2846 -0.6472 -1.4578
2.1223 -3.3373 -1.7657
3.1020 -4.0621 2.4089
3.3405 -0.9145 -2.6034
5.8906 -3.6956 2.7905
1.8838 -6.4849 3.2466
-0.6662 -3.7038 -2.1473
1.5385 -2.0147 1.1947
3.6858 -5.3847 -0.5515
```

=====

The following is a DFT calculation (PBE) of a relaxed structure of Tm7Tl2Ag2.

Fermi-level density of states in states/eV/atom: 1.042
VASP energy in eV per cell: -41.43

The structure in POSCAR format:
```
Tm7Tl2Ag2
1.0
6.8014 -0.0028 -0.8572
0.0032 7.2356 0.0032
-1.2793 -0.0023 6.7348
Tm Tl Ag
7 2 2
Cartesian
-0.6388 1.9240 3.3683
3.4031 5.3091 -0.4262
6.1641 5.3066 2.5125
2.1222 1.9215 6.3070
0.0000 0.0000 0.0000
2.7634 5.4334 2.9412
2.7619 1.7971 2.9396
4.5155 3.6137 4.8060
1.0098 3.6169 1.0748
4.4568 -0.0026 1.3456
1.0685 7.2332 4.5352
```

=====

The following is a DFT calculation (PBE) of a relaxed structure of TmTlAg.

Fermi-level density of states in states/eV/atom: 0.167
VASP energy in eV per cell: -20.57

The structure in POSCAR format:
```
TmTlAg
1.0
-1.0107 0.8516 5.0544
-2.0793 -4.2367 -2.4019
7.4282 0.5215 1.3974
Tm Ag Tl
2 2 2
Cartesian
4.2269 -0.9911 3.7121
0.1114 -1.8725 0.3378
-0.7788 -3.0267 3.0542
5.1171 0.1631 0.9957
0.8744 -0.3988 2.9420
3.4639 -2.4648 1.1079
```